Here is Ba2LiTeBr at its PBEsol-relaxed geometry from the Alexandria database. Energies are from meta-GGA SCAN.

Calculated values
The density comes out at 4.65 g cm⁻³. The calculation puts the uncorrected formation energy at -1122 meV per atom. For the total energy, the calculation gives -28.76 eV/atom.

Cell: 6.1796 6.1796 4.5722 Å, 90.00 90.00 90.00°
Space group P4/mmm (No. 123)
Asymmetric unit:
Ba1 0.0000 0.5000 0.0000 (multiplicity 2)
Li1 0.0000 0.0000 0.5000 (multiplicity 1)
Te1 0.5000 0.5000 0.5000 (multiplicity 1)
Br1 0.0000 0.0000 0.0000 (multiplicity 1)